First-principles (GGA+U) data for crystalline CrHg2PtF at its relaxed geometry, as listed in the Alexandria database.

The density of states at the Fermi level is 0.542 states/eV per atom. As for the total energy: -3.336 eV/atom. The symmetry is P4/mmm.

CIF file:
```
data_CrHg2PtF
_chemical_formula_sum 'Cr1 Hg2 Pt1 F1'
_cell_length_a 5.389
_cell_length_b 3.741
_cell_length_c 5.389
_cell_angle_alpha 90.00
_cell_angle_beta 90.00
_cell_angle_gamma 90.00
_symmetry_space_group_name_H-M 'P 1'
_symmetry_Int_Tables_number 1
loop_
_symmetry_equiv_pos_as_xyz
'x,y,z'
loop_
_atom_site_label
_atom_site_type_symbol
_atom_site_fract_x
_atom_site_fract_y
_atom_site_fract_z
Hg1 Hg 0.500 0.000 0.000
Cr1 Cr 0.000 0.000 0.000
F1 F 0.000 0.500 0.000
Hg2 Hg 0.000 0.000 0.500
Pt1 Pt 0.500 0.500 0.500
```